(1)
# RhSe2I (PBE, relaxed)
# * magnetic moment: 0.1 μB/f.u.
# * ΔE to the lowest computed polymorph: 75.4 meV per atom
# * formation energy from raw total energies: -179 meV per atom
data_RhSe2I
_cell_length_a 6.174
_cell_length_b 6.177
_cell_length_c 6.815
_cell_angle_alpha 74.39
_cell_angle_beta 82.53
_cell_angle_gamma 64.60
_symmetry_space_group_name_H-M 'P 1'
_symmetry_Int_Tables_number 1
loop_
_symmetry_equiv_pos_as_xyz
'x,y,z'
loop_
_atom_site_label
_atom_site_fract_x
_atom_site_fract_y
_atom_site_fract_z
Rh1 0.000 0.000 0.000
Rh2 0.493 0.506 0.000
Se1 0.082 0.626 0.863
Se2 0.250 0.681 0.277
Se3 0.389 0.936 0.847
Se4 0.906 0.380 0.119
I1 0.576 0.028 0.205
I2 0.730 0.330 0.661


(2)
# RhSe2I (PBE, relaxed)
# * magnetic moment: 0.0 μB/f.u.
# * ΔE to the lowest computed polymorph: 276.2 meV per atom
# * formation energy from raw total energies: 22 meV per atom
data_RhSe2I
_cell_length_a 7.154
_cell_length_b 4.802
_cell_length_c 11.891
_cell_angle_alpha 90.00
_cell_angle_beta 90.00
_cell_angle_gamma 90.00
_symmetry_space_group_name_H-M 'P n m a'
_symmetry_Int_Tables_number 62
loop_
_symmetry_equiv_pos_as_xyz
'x,y,z'
'-x,-y,-z'
'-x+1/2,-y,z+1/2'
'x+1/2,y,-z+1/2'
'x+1/2,-y+1/2,-z+1/2'
'-x+1/2,y+1/2,z+1/2'
'-x,y+1/2,-z'
'x,-y+1/2,z'
loop_
_atom_site_label
_atom_site_fract_x
_atom_site_fract_y
_atom_site_fract_z
Rh1 0.025 0.250 0.129
Se1 0.079 0.750 0.076
Se2 0.205 0.250 0.305
I1 0.055 0.750 0.395


(3)
# RhSe2I (PBE, relaxed)
# * magnetic moment: 0.0 μB/f.u.
# * ΔE to the lowest computed polymorph: 714.4 meV per atom
# * formation energy from raw total energies: 460 meV per atom
data_RhSe2I
_cell_length_a 4.046
_cell_length_b 4.046
_cell_length_c 5.528
_cell_angle_alpha 90.00
_cell_angle_beta 90.00
_cell_angle_gamma 90.00
_symmetry_space_group_name_H-M 'P 4/m m m'
_symmetry_Int_Tables_number 123
_symmetry_space_group_name_Hall '-P 4 2'
loop_
_atom_site_label
_atom_site_fract_x
_atom_site_fract_y
_atom_site_fract_z
Rh1 0.000 0.000 0.000
Se1 0.000 0.000 0.500
Se2 0.500 0.500 0.000
I1 0.500 0.500 0.500


(4)
# RhSe2I (PBE, relaxed)
# * magnetic moment: 0.3 μB/f.u.
# * ΔE to the lowest computed polymorph: 86.1 meV per atom
# * formation energy from raw total energies: -168 meV per atom
data_RhSe2I
_cell_length_a 6.980
_cell_length_b 2.974
_cell_length_c 10.477
_cell_angle_alpha 90.00
_cell_angle_beta 91.17
_cell_angle_gamma 90.00
_symmetry_space_group_name_H-M 'C 1 2/m 1'
_symmetry_Int_Tables_number 12
loop_
_symmetry_equiv_pos_as_xyz
'x,y,z'
'-x,-y,-z'
'-x,y,-z'
'x,-y,z'
'x+1/2,y+1/2,z'
'-x+1/2,-y+1/2,-z'
'-x+1/2,y+1/2,-z'
'x+1/2,-y+1/2,z'
loop_
_atom_site_label
_atom_site_fract_x
_atom_site_fract_y
_atom_site_fract_z
Rh1 0.000 0.000 0.000
Se1 0.212 0.500 0.141
I1 0.000 0.000 0.500


(5)
# Sm6Rh2SeI3 (PBE, relaxed)
# * magnetic moment: 0.0 μB/f.u.
# * formation energy from raw total energies: -1061 meV per atom
data_Sm6Rh2SeI3
_cell_length_a 7.345
_cell_length_b 12.706
_cell_length_c 8.251
_cell_angle_alpha 90.00
_cell_angle_beta 107.18
_cell_angle_gamma 90.00
_symmetry_space_group_name_H-M 'C 1 2/m 1'
_symmetry_Int_Tables_number 12
loop_
_symmetry_equiv_pos_as_xyz
'x,y,z'
'-x,-y,-z'
'-x,y,-z'
'x,-y,z'
'x+1/2,y+1/2,z'
'-x+1/2,-y+1/2,-z'
'-x+1/2,y+1/2,-z'
'x+1/2,-y+1/2,z'
loop_
_atom_site_label
_atom_site_fract_x
_atom_site_fract_y
_atom_site_fract_z
Sm1 0.206 0.000 0.187
Sm2 0.241 0.322 0.188
Rh1 0.000 0.167 0.000
Se1 0.000 0.500 0.000
I1 0.000 0.000 0.500
I2 0.000 0.338 0.500


(6)
# Sm4RhSeI2 (PBE, relaxed)
# * magnetic moment: 0.0 μB/f.u.
# * formation energy from raw total energies: -1108 meV per atom
data_Sm4RhSeI2
_cell_length_a 7.633
_cell_length_b 4.119
_cell_length_c 8.106
_cell_angle_alpha 90.00
_cell_angle_beta 106.83
_cell_angle_gamma 90.00
_symmetry_space_group_name_H-M 'P 1 2/m 1'
_symmetry_Int_Tables_number 10
loop_
_symmetry_equiv_pos_as_xyz
'x,y,z'
'-x,-y,-z'
'-x,y,-z'
'x,-y,z'
loop_
_atom_site_label
_atom_site_fract_x
_atom_site_fract_y
_atom_site_fract_z
Sm1 0.204 0.000 0.188
Sm2 0.256 0.500 0.808
Rh1 0.000 0.500 0.000
Se1 0.500 0.000 0.000
I1 0.000 0.000 0.500
I2 0.500 0.500 0.500


(7)
# TcRhSe2I (PBE, relaxed)
# * magnetic moment: 0.0 μB/f.u.
# * formation energy from raw total energies: 622 meV per atom
data_TcRhSe2I
_cell_length_a 4.755
_cell_length_b 4.755
_cell_length_c 5.179
_cell_angle_alpha 90.00
_cell_angle_beta 90.00
_cell_angle_gamma 90.00
_symmetry_space_group_name_H-M 'P 4/m m m'
_symmetry_Int_Tables_number 123
_symmetry_space_group_name_Hall '-P 4 2'
loop_
_atom_site_label
_atom_site_fract_x
_atom_site_fract_y
_atom_site_fract_z
Tc1 0.000 0.000 0.000
Rh1 0.000 0.000 0.500
Se1 0.000 0.500 0.000
I1 0.500 0.500 0.500


(8)
# TeRhSeI2 (PBE, relaxed)
# * magnetic moment: 0.0 μB/f.u.
# * ΔE to the lowest computed polymorph: 0.0 meV per atom
# * formation energy from raw total energies: 445 meV per atom
data_TeRhSeI2
_cell_length_a 5.357
_cell_length_b 5.357
_cell_length_c 5.184
_cell_angle_alpha 90.00
_cell_angle_beta 90.00
_cell_angle_gamma 90.00
_symmetry_space_group_name_H-M 'P 4/m m m'
_symmetry_Int_Tables_number 123
_symmetry_space_group_name_Hall '-P 4 2'
loop_
_atom_site_label
_atom_site_fract_x
_atom_site_fract_y
_atom_site_fract_z
Te1 0.000 0.000 0.000
Rh1 0.000 0.000 0.500
Se1 0.500 0.500 0.000
I1 0.000 0.500 0.500


(9)
# TeRhSeI2 (PBE, relaxed)
# * magnetic moment: 2.0 μB/f.u.
# * ΔE to the lowest computed polymorph: 577.4 meV per atom
# * formation energy from raw total energies: 1022 meV per atom
data_TeRhSeI2
_cell_length_a 5.598
_cell_length_b 5.598
_cell_length_c 5.598
_cell_angle_alpha 90.00
_cell_angle_beta 90.00
_cell_angle_gamma 90.00
_symmetry_space_group_name_H-M 'P 4/m m m'
_symmetry_Int_Tables_number 123
_symmetry_space_group_name_Hall '-P 4 2'
loop_
_atom_site_label
_atom_site_fract_x
_atom_site_fract_y
_atom_site_fract_z
Te1 0.000 0.000 0.000
Rh1 0.500 0.500 0.000
Se1 0.000 0.000 0.500
I1 0.000 0.500 0.500


(10)
# YRhSe2I (PBE, relaxed)
# * magnetic moment: 0.0 μB/f.u.
# * ΔE to the lowest computed polymorph: 0.0 meV per atom
# * formation energy from raw total energies: -371 meV per atom
data_YRhSe2I
_cell_length_a 5.002
_cell_length_b 5.002
_cell_length_c 5.108
_cell_angle_alpha 90.00
_cell_angle_beta 90.00
_cell_angle_gamma 90.00
_symmetry_space_group_name_H-M 'P 4/m m m'
_symmetry_Int_Tables_number 123
_symmetry_space_group_name_Hall '-P 4 2'
loop_
_atom_site_label
_atom_site_fract_x
_atom_site_fract_y
_atom_site_fract_z
Y1 0.000 0.000 0.000
Rh1 0.500 0.500 0.500
Se1 0.000 0.500 0.500
I1 0.500 0.500 0.000


(11)
# YRhSe2I (PBE, relaxed)
# * magnetic moment: 0.0 μB/f.u.
# * ΔE to the lowest computed polymorph: 1416.4 meV per atom
# * formation energy from raw total energies: 1046 meV per atom
data_YRhSe2I
_cell_length_a 5.304
_cell_length_b 5.304
_cell_length_c 5.718
_cell_angle_alpha 90.00
_cell_angle_beta 90.00
_cell_angle_gamma 90.00
_symmetry_space_group_name_H-M 'P 4/m m m'
_symmetry_Int_Tables_number 123
_symmetry_space_group_name_Hall '-P 4 2'
loop_
_atom_site_label
_atom_site_fract_x
_atom_site_fract_y
_atom_site_fract_z
Y1 0.000 0.000 0.000
Rh1 0.500 0.500 0.000
Se1 0.000 0.500 0.500
I1 0.000 0.000 0.500


(12)
# SiRh2I (PBE, relaxed)
# * magnetic moment: 0.0 μB/f.u.
# * ΔE to the lowest computed polymorph: 0.0 meV per atom
# * formation energy from raw total energies: -290 meV per atom
data_SiRh2I
_cell_length_a 3.757
_cell_length_b 3.761
_cell_length_c 6.331
_cell_angle_alpha 77.38
_cell_angle_beta 77.31
_cell_angle_gamma 61.08
_symmetry_space_group_name_H-M 'P 1'
_symmetry_Int_Tables_number 1
loop_
_symmetry_equiv_pos_as_xyz
'x,y,z'
loop_
_atom_site_label
_atom_site_fract_x
_atom_site_fract_y
_atom_site_fract_z
Si1 0.000 0.000 0.000
Rh1 0.292 0.308 0.159
Rh2 0.694 0.707 0.841
I1 0.665 0.333 0.500


(13)
# SiRh2I (PBE, relaxed)
# * magnetic moment: 0.0 μB/f.u.
# * ΔE to the lowest computed polymorph: 23.5 meV per atom
# * formation energy from raw total energies: -266 meV per atom
data_SiRh2I
_cell_length_a 3.8119
_cell_length_b 3.8119
_cell_length_c 6.3329
_cell_angle_alpha 90.00
_cell_angle_beta 90.00
_cell_angle_gamma 120.00
_symmetry_space_group_name_H-M 'P 3 m 1'
_symmetry_Int_Tables_number 156
loop_
_symmetry_equiv_pos_as_xyz
'x,y,z'
'-y,x-y,z'
'-x+y,-x,z'
'-y,-x,z'
'-x+y,y,z'
'x,x-y,z'
loop_
_atom_site_label
_atom_site_fract_x
_atom_site_fract_y
_atom_site_fract_z
Si1 0.0000 0.0000 0.0000
Rh1 0.3333 0.6667 0.8307
Rh2 0.6667 0.3333 0.1298
I1 0.6667 0.3333 0.5434


(14)
# Si2RhI (PBE, relaxed)
# * magnetic moment: 0.0 μB/f.u.
# * ΔE to the lowest computed polymorph: 0.0 meV per atom
# * formation energy from raw total energies: 164 meV per atom
data_Si2RhI
_cell_length_a 6.131
_cell_length_b 6.131
_cell_length_c 11.219
_cell_angle_alpha 90.00
_cell_angle_beta 90.00
_cell_angle_gamma 90.00
_symmetry_space_group_name_H-M 'I -4 2 d'
_symmetry_Int_Tables_number 122
_symmetry_space_group_name_Hall 'I -4 2bw'
loop_
_atom_site_label
_atom_site_fract_x
_atom_site_fract_y
_atom_site_fract_z
Si1 0.147 0.250 0.125
Rh1 0.000 0.000 0.000
I1 0.000 0.000 0.500


(15)
# SiRh2I (PBE, relaxed)
# * magnetic moment: 0.0 μB/f.u.
# * ΔE to the lowest computed polymorph: 134.4 meV per atom
# * formation energy from raw total energies: -155 meV per atom
data_SiRh2I
_cell_length_a 3.010
_cell_length_b 3.079
_cell_length_c 7.535
_cell_angle_alpha 90.00
_cell_angle_beta 90.00
_cell_angle_gamma 90.00
_symmetry_space_group_name_H-M 'P m m m'
_symmetry_Int_Tables_number 47
loop_
_symmetry_equiv_pos_as_xyz
'x,y,z'
'-x,-y,-z'
'-x,-y,z'
'x,y,-z'
'x,-y,-z'
'-x,y,z'
'-x,y,-z'
'x,-y,z'
loop_
_atom_site_label
_atom_site_fract_x
_atom_site_fract_y
_atom_site_fract_z
Si1 0.000 0.000 0.000
Rh1 0.500 0.500 0.178
I1 0.500 0.000 0.500


(16)
# SiRh2I (PBE, relaxed)
# * magnetic moment: 0.0 μB/f.u.
# * ΔE to the lowest computed polymorph: 99.0 meV per atom
# * formation energy from raw total energies: -191 meV per atom
data_SiRh2I
_cell_length_a 3.461
_cell_length_b 3.323
_cell_length_c 6.779
_cell_angle_alpha 90.00
_cell_angle_beta 96.25
_cell_angle_gamma 90.00
_symmetry_space_group_name_H-M 'P 1 m 1'
_symmetry_Int_Tables_number 6
loop_
_symmetry_equiv_pos_as_xyz
'x,y,z'
'x,-y,z'
loop_
_atom_site_label
_atom_site_fract_x
_atom_site_fract_y
_atom_site_fract_z
Si1 0.000 0.000 0.000
Rh1 0.496 0.500 0.896
Rh2 0.532 0.000 0.236
I1 0.304 0.500 0.503


(17)
# SiRh2I (PBE, relaxed)
# * magnetic moment: 0.0 μB/f.u.
# * ΔE to the lowest computed polymorph: 265.7 meV per atom
# * formation energy from raw total energies: -24 meV per atom
data_SiRh2I
_cell_length_a 3.598
_cell_length_b 4.779
_cell_length_c 5.487
_cell_angle_alpha 85.61
_cell_angle_beta 70.99
_cell_angle_gamma 68.32
_symmetry_space_group_name_H-M 'P -1'
_symmetry_Int_Tables_number 2
loop_
_symmetry_equiv_pos_as_xyz
'x,y,z'
'-x,-y,-z'
loop_
_atom_site_label
_atom_site_fract_x
_atom_site_fract_y
_atom_site_fract_z
Si1 0.000 0.000 0.000
Rh1 0.346 0.034 0.277
I1 0.500 0.500 0.500


(18)
# SiRh2I (PBE, relaxed)
# * magnetic moment: 0.0 μB/f.u.
# * ΔE to the lowest computed polymorph: 625.7 meV per atom
# * formation energy from raw total energies: 336 meV per atom
data_SiRh2I
_cell_length_a 6.431
_cell_length_b 6.431
_cell_length_c 6.431
_cell_angle_alpha 90.00
_cell_angle_beta 90.00
_cell_angle_gamma 90.00
_symmetry_space_group_name_H-M 'F m -3 m'
_symmetry_Int_Tables_number 225
_symmetry_space_group_name_Hall '-F 4 2 3'
loop_
_atom_site_label
_atom_site_fract_x
_atom_site_fract_y
_atom_site_fract_z
Si1 0.000 0.000 0.000
Rh1 0.250 0.250 0.250
I1 0.000 0.000 0.500


(19)
# SiRh2I (PBE, relaxed)
# * magnetic moment: 0.0 μB/f.u.
# * ΔE to the lowest computed polymorph: 38.7 meV per atom
# * formation energy from raw total energies: -251 meV per atom
data_SiRh2I
_cell_length_a 3.7366
_cell_length_b 3.7366
_cell_length_c 6.2360
_cell_angle_alpha 90.00
_cell_angle_beta 90.00
_cell_angle_gamma 120.00
_symmetry_space_group_name_H-M 'P -3 m 1'
_symmetry_Int_Tables_number 164
_symmetry_space_group_name_Hall '-P 3 2"'
loop_
_atom_site_label
_atom_site_fract_x
_atom_site_fract_y
_atom_site_fract_z
Si1 0.0000 0.0000 0.0000
Rh1 0.3333 0.6667 0.8406
I1 0.0000 0.0000 0.5000


(20)
# Si2RhI (PBE, relaxed)
# * magnetic moment: 0.0 μB/f.u.
# * ΔE to the lowest computed polymorph: 695.9 meV per atom
# * formation energy from raw total energies: 860 meV per atom
data_Si2RhI
_cell_length_a 6.637
_cell_length_b 6.637
_cell_length_c 6.637
_cell_angle_alpha 90.00
_cell_angle_beta 90.00
_cell_angle_gamma 90.00
_symmetry_space_group_name_H-M 'F m -3 m'
_symmetry_Int_Tables_number 225
_symmetry_space_group_name_Hall '-F 4 2 3'
loop_
_atom_site_label
_atom_site_fract_x
_atom_site_fract_y
_atom_site_fract_z
Si1 0.250 0.250 0.250
Rh1 0.000 0.000 0.000
I1 0.000 0.000 0.500